(1)
A geometry-optimized TbCuPd structure. Source: Alexandria via LeMat-Bulk, functional PBE.

As for the polymorph energy (0 for the lowest one): 22 meV per atom. The total energy comes out at -62.77 eV for the cell shown.

It has space group Cmcm (No. 63), with a = 4.280 Å, b = 9.765 Å, c = 5.479 Å, α = 90.00°, β = 90.00° and γ = 90.00°. The asymmetric unit holds Tb at (0.000, 0.203, 0.250), Cu at (0.000, 0.500, 0.000) and Pd at (0.000, 0.092, 0.750).

(2)
A geometry-optimized Tb4Cu2Pd structure. Source: Alexandria via LeMat-Bulk, functional PBE.

The total energy comes out at -101.84 eV for the cell shown.

It has space group R-3m (No. 166, hexagonal axes), with a = 4.9209 Å, b = 4.9209 Å, c = 24.0345 Å, α = 90.00°, β = 90.00° and γ = 120.00°. The asymmetric unit holds Tb at (0.0000, 0.0000, 0.1235), Tb at (0.0000, 0.0000, 0.3737), Cu at (0.0000, 0.0000, 0.2516) and Pd at (0.0000, 0.0000, 0.5000).

Short version: formation enthalpy at 0 K = -591 -291 meV per atom, in the order given.
Short version: spin magnetization = 0.000 0.000 μB per formula unit, in the order given.
Short version: V = 229.0 504.0 Å³ per cell, in the order given.